Record 1
Compound: Tb5DyTh2
Source: the Alexandria database
Functional: PBE
Structure: relaxed

Structure (CIF):
```
data_Tb5DyTh2
_chemical_formula_sum 'Tb10 Dy2 Th4'
_symmetry_space_group_name_H-M 'I m m m'
_symmetry_Int_Tables_number 71
_symmetry_space_group_name_Hall '-I 2 2'
_cell_length_a 3.523
_cell_length_b 11.201
_cell_length_c 13.208
_cell_angle_alpha 90.00
_cell_angle_beta 90.00
_cell_angle_gamma 90.00
loop_
_atom_site_label
_atom_site_fract_x
_atom_site_fract_y
_atom_site_fract_z
Tb1 0.000 0.000 0.000
Tb2 0.000 0.266 0.370
Dy1 0.000 0.500 0.000
Th1 0.000 0.000 0.259
```

DOS at the Fermi energy (states/eV/cell): 26.917
M_tot (μB/f.u.): 0.0
E_form (eV per atom): 0.099

---

Record 2
Compound: Tb2Dy5Th5
Source: the Alexandria database
Functional: PBE
Structure: relaxed

Structure (CIF):
```
data_Tb2Dy5Th5
_chemical_formula_sum 'Tb4 Dy10 Th10'
_symmetry_space_group_name_H-M 'C 1 2/m 1'
_symmetry_Int_Tables_number 12
_cell_length_a 15.070
_cell_length_b 5.038
_cell_length_c 11.288
_cell_angle_alpha 90.00
_cell_angle_beta 116.42
_cell_angle_gamma 90.00
loop_
_symmetry_equiv_pos_as_xyz
'x,y,z'
'-x,-y,-z'
'-x,y,-z'
'x,-y,z'
'x+1/2,y+1/2,z'
'-x+1/2,-y+1/2,-z'
'-x+1/2,y+1/2,-z'
'x+1/2,-y+1/2,z'
loop_
_atom_site_label
_atom_site_fract_x
_atom_site_fract_y
_atom_site_fract_z
Tb1 0.083 0.000 0.250
Dy1 0.000 0.500 0.000
Dy2 0.085 0.500 0.748
Dy3 0.168 0.500 0.504
Th1 0.000 0.000 0.500
Th2 0.169 0.000 0.002
Th3 0.249 0.000 0.753
```

DOS at the Fermi energy (states/eV/cell): 36.239
M_tot (μB/f.u.): 0.0
E_form (eV per atom): 0.047

---

Record 3
Compound: Tb7DyTh4
Source: the Alexandria database
Functional: PBE
Structure: relaxed

Structure (CIF):
```
data_Tb7DyTh4
_chemical_formula_sum 'Tb7 Dy1 Th4'
_symmetry_space_group_name_H-M 'P -3 m 1'
_symmetry_Int_Tables_number 164
_symmetry_space_group_name_Hall '-P 3 2"'
_cell_length_a 3.5781
_cell_length_b 3.5781
_cell_length_c 34.7118
_cell_angle_alpha 90.00
_cell_angle_beta 90.00
_cell_angle_gamma 120.00
loop_
_atom_site_label
_atom_site_fract_x
_atom_site_fract_y
_atom_site_fract_z
Tb1 0.0000 0.0000 0.0000
Tb2 0.0000 0.0000 0.2516
Tb3 0.3333 0.6667 0.1644
Tb4 0.3333 0.6667 0.4155
Dy1 0.0000 0.0000 0.5000
Th1 0.3333 0.6667 0.6670
Th2 0.3333 0.6667 0.9166
```

DOS at the Fermi energy (states/eV/cell): 17.189
M_tot (μB/f.u.): 0.0
E_form (eV per atom): 0.022

---

Record 4
Compound: TbDy12Th5
Source: the Alexandria database
Functional: PBE
Structure: relaxed

Structure (CIF):
```
data_TbDy12Th5
_chemical_formula_sum 'Tb2 Dy24 Th10'
_symmetry_space_group_name_H-M 'C 1 2/m 1'
_symmetry_Int_Tables_number 12
_cell_length_a 18.486
_cell_length_b 10.628
_cell_length_c 6.169
_cell_angle_alpha 90.00
_cell_angle_beta 109.32
_cell_angle_gamma 90.00
loop_
_symmetry_equiv_pos_as_xyz
'x,y,z'
'-x,-y,-z'
'-x,y,-z'
'x,-y,z'
'x+1/2,y+1/2,z'
'-x+1/2,-y+1/2,-z'
'-x+1/2,y+1/2,-z'
'x+1/2,-y+1/2,z'
loop_
_atom_site_label
_atom_site_fract_x
_atom_site_fract_y
_atom_site_fract_z
Tb1 0.000 0.000 0.000
Dy1 0.000 0.165 0.500
Dy2 0.000 0.337 0.000
Dy3 0.167 0.335 0.832
Dy4 0.168 0.165 0.337
Th1 0.000 0.500 0.500
Th2 0.167 0.000 0.829
Th3 0.167 0.500 0.332
```

DOS at the Fermi energy (states/eV/cell): 55.898
M_tot (μB/f.u.): 0.0
E_form (eV per atom): 0.044

---

Which formula does entry 1 have? Tb5DyTh2

---

Look up the M_tot of the fourth one. 0.0 μB/f.u.

---

Copy entry 1 word for word.
Compound: Tb5DyTh2
Source: the Alexandria database
Functional: PBE
Structure: relaxed

Structure (CIF):
```
data_Tb5DyTh2
_chemical_formula_sum 'Tb10 Dy2 Th4'
_symmetry_space_group_name_H-M 'I m m m'
_symmetry_Int_Tables_number 71
_symmetry_space_group_name_Hall '-I 2 2'
_cell_length_a 3.523
_cell_length_b 11.201
_cell_length_c 13.208
_cell_angle_alpha 90.00
_cell_angle_beta 90.00
_cell_angle_gamma 90.00
loop_
_atom_site_label
_atom_site_fract_x
_atom_site_fract_y
_atom_site_fract_z
Tb1 0.000 0.000 0.000
Tb2 0.000 0.266 0.370
Dy1 0.000 0.500 0.000
Th1 0.000 0.000 0.259
```

DOS at the Fermi energy (states/eV/cell): 26.917
M_tot (μB/f.u.): 0.0
E_form (eV per atom): 0.099